Here is a geometry-optimized KHoSc structure from OQMD. Energies are from PBE.

Cell: 8.065 8.065 8.065 Å, 90.00 90.00 90.00°
Element x y z (fractional)
K  0.000  0.000  0.000
K  0.000  0.500  0.500
K  0.500  0.000  0.500
K  0.500  0.500  0.000
Ho  0.000  0.000  0.500
Ho  0.000  0.500  0.000
Ho  0.500  0.000  0.000
Ho  0.500  0.500  0.500
Sc  0.250  0.250  0.750
Sc  0.250  0.750  0.250
Sc  0.750  0.250  0.250
Sc  0.750  0.750  0.750

## Properties
Magnetic moment = 1.398 μB per formula unit
Energy above the most stable polymorph in this dataset = 0.0000 eV per atom